! Zr2Zn (GGA-PBE, relaxed); values from VASP
&SYSTEM
  ibrav = 0, nat = 3, ntyp = 2
/
ATOMIC_SPECIES
Zr 91.22 Zr.upf
Zn 65.41 Zn.upf
CELL_PARAMETERS angstrom
4.5584 0.0000 0.0047
0.0000 4.5604 0.0000
-2.2758 -2.2802 3.2336
ATOMIC_POSITIONS angstrom
Zr 2.2794 0.0000 1.6206
Zr 0.0032 2.2802 1.6177
Zn 0.0000 0.0000 0.0000
! Formation energy = 0.188 eV per atom
! Magnetization = 0.0 μB per formula unit
! Space group = C2/m
! N(E_F) = 3.19 states/eV/f.u.

***

! CsAgBr3 (GGA-PBE, relaxed); values from VASP
&SYSTEM
  ibrav = 0, nat = 5, ntyp = 3
/
ATOMIC_SPECIES
Cs 132.91 Cs.upf
Br 79.90 Br.upf
Ag 107.87 Ag.upf
CELL_PARAMETERS angstrom
5.4898 0.0000 0.0000
0.0014 5.4868 0.0000
0.0000 0.0027 5.4898
ATOMIC_POSITIONS angstrom
Cs 0.0000 0.0652 0.0090
Br 0.0007 2.8110 2.7576
Br 2.7437 0.0678 2.7540
Br 2.7456 2.8082 0.0118
Ag 2.7456 2.8114 2.7571
! Magnetization = 0.0 μB per formula unit
! Space group = Pm-3m
! N(E_F) = 1.85 states/eV/f.u.

***

Number 1: energy -17.81 eV for the cell shown. Number 2: energy -13.23 eV for the cell shown.